First-principles (PBE-GGA) data for a relaxed LiFeSi4 crystal, as listed in Alexandria.

a = 4.9351 Å, b = 4.9351 Å, c = 4.9351 Å
α = 60.00°, β = 60.00°, γ = 60.00°
With the nearest neighbours (Å) after each atom.
Fractional coordinates of all 6 atoms:
Fe 0.7500 0.7500 0.7500  12 Si 2.89, 4 Li 3.02
Si 0.3754 0.3754 0.3754  6 Si 2.46-2.47
Si 0.3754 0.8740 0.3754  6 Si 2.46-2.47
Si 0.8740 0.3754 0.3754  6 Si 2.46-2.47
Si 0.3754 0.3754 0.8740  6 Si 2.46-2.47
Li 0.0000 0.0000 0.0000  12 Si 2.89, 4 Fe 3.02

Values from the calculation:
Symmetry   F-43m (216)
E_form (uncorrected)   0.298 eV per atom

First-principles (PBE-GGA) data for a relaxed SrPtW crystal, as listed in Alexandria.

a = 6.7458 Å, b = 6.7458 Å, c = 3.2468 Å
α = 76.08°, β = 76.07°, γ = 27.85°
With the nearest neighbours (Å) after each atom.
Fractional coordinates of all 3 atoms:
Sr 0.3347 0.3347 0.6653  4 Sr 3.25, 4 Pt 3.40, 4 W 3.44
Pt 0.0325 0.0325 0.9675  4 W 2.63
W 0.6328 0.6328 0.3672  4 Pt 2.63

Values from the calculation:
Symmetry   I4mm (107)
Formation energy   0.295 eV/atom

First-principles (PBE-GGA) data for a relaxed BeAlCd2 crystal, as listed in Alexandria.

a = 5.0593 Å, b = 5.0593 Å, c = 5.0593 Å
α = 131.39°, β = 131.39°, γ = 71.19°
With the nearest neighbours (Å) after each atom.
Fractional coordinates of all 4 atoms:
Cd 0.0000 0.0000 0.0000  4 Be 2.93, 4 Al 2.93, 4 Cd 2.94
Cd 0.5000 0.5000 0.0000  4 Be 2.93, 4 Al 2.93, 4 Cd 2.94
Be 0.7500 0.2500 0.5000  8 Cd 2.93, 4 Al 2.94
Al 0.2500 0.7500 0.5000  8 Cd 2.93, 4 Be 2.94

Values from the calculation:
Symmetry   I4/mmm (139)
Formation energy   0.382 eV/atom

First-principles (PBE-GGA) data for a relaxed CdSi2Ag2 crystal, as listed in Alexandria.

a = 4.2039 Å, b = 4.2039 Å, c = 6.1715 Å
α = 70.09°, β = 70.09°, γ = 90.00°
With the nearest neighbours (Å) after each atom.
Fractional coordinates of all 5 atoms:
Si 0.3942 0.3942 0.2115  1 Si 2.29
Si 0.6058 0.6058 0.7885  1 Si 2.29
Ag 0.7500 0.2500 0.5000  4 Si 2.62
Ag 0.2500 0.7500 0.5000  4 Si 2.62
Cd 0.0000 0.0000 0.0000  8 Si 3.19, 8 Ag 3.43

Values from the calculation:
Symmetry   I4/mmm (139)
E_form (uncorrected)   0.284 eV per atom

First-principles (PBE-GGA) data for a relaxed Er2GaNi12B3 crystal, as listed in Alexandria.

a = 6.7447 Å, b = 6.7447 Å, c = 6.7447 Å
α = 63.02°, β = 63.02°, γ = 63.02°
With the nearest neighbours (Å) after each atom.
Fractional coordinates of all 18 atoms:
B 0.5000 0.0000 0.0000  6 Ni 1.91-1.94
B 0.0000 0.5000 0.0000  6 Ni 1.91-1.94
B 0.0000 0.0000 0.5000  6 Ni 1.91-1.94
Ni 0.2739 0.2739 0.8754  2 B 1.91
Ni 0.1417 0.1417 0.5733  1 B 1.94
Ni 0.4267 0.8583 0.8583  1 B 1.94
Ni 0.7261 0.1246 0.7261  2 B 1.91
Ni 0.5733 0.1417 0.1417  1 B 1.94
Ni 0.7261 0.7261 0.1246  2 B 1.91
Ni 0.2739 0.8754 0.2739  2 B 1.91
Ni 0.1417 0.5733 0.1417  1 B 1.94
Ni 0.1246 0.7261 0.7261  2 B 1.91
Ni 0.8754 0.2739 0.2739  2 B 1.91
Ni 0.8583 0.8583 0.4267  1 B 1.94
Ni 0.8583 0.4267 0.8583  1 B 1.94
Er 0.4057 0.4057 0.4057  6 Ni 2.62-2.69
Er 0.5943 0.5943 0.5943  6 Ni 2.62-2.69
Ga 0.0000 0.0000 0.0000  6 Ni 2.44

Values from the calculation:
Symmetry   R-3m (166)
Formation energy   -0.116 eV/atom

First-principles (PBE-GGA) data for a relaxed Ni3Sb crystal, as listed in Alexandria.

a = 4.7276 Å, b = 4.7276 Å, c = 4.7276 Å
α = 90.00°, β = 90.00°, γ = 90.00°
With the nearest neighbours (Å) after each atom.
Fractional coordinates of all 8 atoms:
Ni 0.0000 0.2500 0.5000  2 Ni 2.36, 4 Sb 2.64
Ni 0.0000 0.7500 0.5000  2 Ni 2.36, 4 Sb 2.64
Ni 0.2500 0.5000 0.0000  2 Ni 2.36, 4 Sb 2.64
Ni 0.7500 0.5000 0.0000  2 Ni 2.36, 4 Sb 2.64
Ni 0.5000 0.0000 0.2500  2 Ni 2.36, 4 Sb 2.64
Ni 0.5000 0.0000 0.7500  2 Ni 2.36, 4 Sb 2.64
Sb 0.5000 0.5000 0.5000  12 Ni 2.64
Sb 0.0000 0.0000 0.0000  12 Ni 2.64

Values from the calculation:
Symmetry   Pm-3n (223)
E_form (uncorrected)   -0.080 eV per atom

First-principles (PBE-GGA) data for a relaxed NaMgInHg3 crystal, as listed in Alexandria.

a = 4.5699 Å, b = 6.7855 Å, c = 10.0183 Å
α = 90.00°, β = 90.00°, γ = 109.68°
With the nearest neighbours (Å) after each atom.
Fractional coordinates of all 12 atoms:
Mg 0.0000 0.0000 0.0000  6 Hg 3.11, 4 In 3.39
Mg 0.0000 0.0000 0.5000  6 Hg 3.11, 4 In 3.39
Hg 0.6639 0.3277 0.4805  2 In 3.08-3.45, 2 Mg 3.11, 3 Hg 3.20-3.37, 3 Na 3.25-3.27
Hg 0.3361 0.6723 0.9805  2 In 3.08-3.45, 2 Mg 3.11, 3 Hg 3.20-3.37, 3 Na 3.25-3.27
Hg 0.3361 0.6723 0.5195  2 In 3.08-3.45, 2 Mg 3.11, 3 Hg 3.20-3.37, 3 Na 3.25-3.27
Hg 0.6639 0.3277 0.0195  2 In 3.08-3.45, 2 Mg 3.11, 3 Hg 3.20-3.37, 3 Na 3.25-3.27
Hg 0.1442 0.2884 0.7500  2 In 2.97, 2 Na 3.08, 2 Mg 3.11
Hg 0.8558 0.7116 0.2500  2 In 2.97, 2 Na 3.08, 2 Mg 3.11
Na 0.8061 0.6122 0.7500  8 Hg 3.08-3.27, 2 In 3.33
Na 0.1939 0.3878 0.2500  8 Hg 3.08-3.27, 2 In 3.33
In 0.5039 0.0078 0.2500  4 Hg 2.97-3.08
In 0.4961 0.9922 0.7500  4 Hg 2.97-3.08

Values from the calculation:
Symmetry   Cmcm (63)
Formation energy   -0.136 eV/atom

First-principles (PBE-GGA) data for a relaxed EuHoInPd crystal, as listed in Alexandria.

a = 5.2369 Å, b = 5.2369 Å, c = 5.2369 Å
α = 60.00°, β = 60.00°, γ = 60.00°
With the nearest neighbours (Å) after each atom.
Fractional coordinates of all 4 atoms:
In 0.5000 0.5000 0.5000  4 Ho 3.21, 4 Eu 3.21
Pd 0.0000 0.0000 0.0000  4 Ho 3.21, 4 Eu 3.21
Ho 0.2500 0.2500 0.2500  4 In 3.21, 4 Pd 3.21
Eu 0.7500 0.7500 0.7500  4 In 3.21, 4 Pd 3.21

Values from the calculation:
Symmetry   F-43m (216)
Formation energy   -0.510 eV/atom

First-principles (PBE-GGA) data for a relaxed BaAcTlAg crystal, as listed in Alexandria.

a = 4.0693 Å, b = 4.0693 Å, c = 8.5018 Å
α = 90.00°, β = 90.00°, γ = 90.00°
With the nearest neighbours (Å) after each atom.
Fractional coordinates of all 4 atoms:
Ag 0.5000 0.5000 0.5829  4 Ac 3.39, 4 Ba 3.66
Ba 0.0000 0.0000 0.8482  4 Ag 3.66, 4 Tl 3.71, 1 Ac 4.04, 4 Ba 4.07
Tl 0.5000 0.5000 0.1241  4 Ac 3.57, 4 Ba 3.71, 1 Ag 3.90
Ac 0.0000 0.0000 0.3728  4 Ag 3.39, 4 Tl 3.57

Values from the calculation:
Symmetry   P4mm (99)
Formation energy   -0.326 eV/atom

First-principles (PBE-GGA) data for a relaxed Er7Tm4In crystal, as listed in Alexandria.

a = 5.7898 Å, b = 11.4625 Å, c = 6.6526 Å
α = 78.79°, β = 64.21°, γ = 75.37°
With the nearest neighbours (Å) after each atom.
Fractional coordinates of all 12 atoms:
Er 0.7976 0.9185 0.4863  1 In 2.96, 1 Er 3.29
Er 0.2024 0.0815 0.5137  1 In 2.96, 1 Er 3.29
Er 0.3683 0.4720 0.7915  5 Tm 3.29-3.60, 4 Er 3.41-3.63
Er 0.6317 0.5280 0.2085  5 Tm 3.29-3.60, 4 Er 3.41-3.63
Er 0.0977 0.7207 0.0839  1 In 3.09, 2 Er 3.41
Er 0.5000 0.0000 0.0000  2 In 2.89
Er 0.9023 0.2793 0.9161  1 In 3.09, 2 Er 3.41
Tm 0.6294 0.2314 0.5098  6 Er 3.29-3.60, 2 Tm 3.45
Tm 0.1391 0.3829 0.3389  5 Er 3.33-3.54, 3 Tm 3.38-3.45
Tm 0.8609 0.6171 0.6611  5 Er 3.33-3.54, 3 Tm 3.38-3.45
Tm 0.3706 0.7686 0.4902  6 Er 3.29-3.60, 2 Tm 3.45
In 0.0000 0.0000 0.0000  6 Er 2.89-3.09

Values from the calculation:
Symmetry   C2/m (12)
Formation energy   0.204 eV/atom

First-principles (PBE-GGA) data for a relaxed Tl2NiHgTe crystal, as listed in Alexandria.

a = 5.3620 Å, b = 5.3620 Å, c = 4.9924 Å
α = 90.00°, β = 90.00°, γ = 90.00°
With the nearest neighbours (Å) after each atom.
Fractional coordinates of all 5 atoms:
Te 0.0000 0.0000 0.5000  2 Ni 2.50
Hg 0.5000 0.5000 0.5000  8 Tl 3.66, 4 Te 3.79
Tl 0.0000 0.5000 0.0000  2 Ni 2.68
Tl 0.5000 0.0000 0.0000  2 Ni 2.68
Ni 0.0000 0.0000 0.0000  2 Te 2.50, 4 Tl 2.68

Values from the calculation:
Symmetry   P4/mmm (123)
E_form (uncorrected)   -0.011 eV per atom

Looking at spin magnetization for the records above, in order, we have 0.487 0.000 0.000 0.000 0.000 0.000 0.000 1.737 0.000 0.000 0.000 μB per atom.
Looking at uncorrected energy for the records above, in order, we have -0.37093 -0.48484 -0.14277 -0.23585 -0.42322 -0.40031 -0.09033 -0.45610 -0.23062 -0.30696 -0.20594 Ry/atom.